The following is a PBE calculation of RuW2Br after structural relaxation, from Alexandria.

Cell lengths 9.552, 2.928, 4.827 Å; angles 90.00, 103.19, 90.00 degrees
Positions (direct):
Ru1 0.000 0.000 0.000
Ru2 0.500 0.500 0.000
W1 0.034 0.500 0.542
W2 0.265 0.000 0.866
W3 0.534 0.000 0.542
W4 0.765 0.500 0.866
Br1 0.259 0.500 0.315
Br2 0.759 0.000 0.315

Output
* ΔE_f (raw): 854 meV per atom
* polymorph energy (0 for the lowest one): 8.38 kcal/mol of atoms
* density of states at the Fermi level: 0.698 states/eV per atom